(1)
The following is a GGA-PBE calculation of an optimized crystal structure of Li2YEr2Ga2, from Alexandria via LeMat-Bulk.

VASP energy	-3.92	eV/atom
SG	R-3m (166)

Cell: 4.5760 4.5760 9.1375 Å, 75.50 75.50 60.00°
Element x y z (fractional)
Er (0.1268, 0.1268, 0.6197)
Er (0.8732, 0.8732, 0.3803)
Li (0.3994, 0.3994, 0.8018)
Li (0.6006, 0.6006, 0.1982)
Ga (0.2603, 0.2603, 0.2190)
Ga (0.7397, 0.7397, 0.7810)
Y (0.0000, 0.0000, 0.0000)

(2)
The following is a GGA-PBE calculation of an optimized crystal structure of LiErZnGa2, from Alexandria via LeMat-Bulk.

VASP energy	-3.17	eV/atom
SG	I-4m2 (119)

Cell: 4.1071 4.1071 6.1600 Å, 109.47 109.47 90.00°
Element x y z (fractional)
Ga (0.3876, 0.3876, 0.7753)
Ga (0.6123, 0.6123, 0.2247)
Er (0.0000, 0.0000, 0.0000)
Li (0.7500, 0.2500, 0.5000)
Zn (0.2500, 0.7500, 0.5000)

(3)
The following is a GGA-PBE calculation of an optimized crystal structure of Li2ErZn2Ga2, from Alexandria via LeMat-Bulk.

VASP energy	-2.79	eV/atom
SG	R-3m (166)

Cell: 4.3817 4.3817 8.0228 Å, 105.82 90.00 120.00°
Element x y z (fractional)
Zn (0.4136, 0.8273, 0.2420)
Zn (0.5864, 0.1727, 0.7580)
Ga (0.7390, 0.4779, 0.2175)
Ga (0.2610, 0.5221, 0.7825)
Li (0.8631, 0.7262, 0.5898)
Li (0.1369, 0.2738, 0.4102)
Er (0.0000, 0.0000, 0.0000)

(4)
The following is a GGA-PBE calculation of an optimized crystal structure of LiErZrGa, from Alexandria via LeMat-Bulk.

VASP energy	-4.74	eV/atom
SG	F-43m (216)

Cell: 4.8752 4.8752 4.8752 Å, 60.00 60.00 60.00°
Element x y z (fractional)
Zr (0.0000, 0.0000, 0.0000)
Er (0.5000, 0.5000, 0.5000)
Li (0.7500, 0.7500, 0.7500)
Ga (0.2500, 0.2500, 0.2500)

(5)
The following is a GGA-PBE calculation of an optimized crystal structure of Er2LuGa, from Alexandria via LeMat-Bulk.

VASP energy	-4.45	eV/atom
SG	P4/mmm (123)
offset from the most stable computed form	0.0	meV per atom

Cell: 3.4699 3.4699 8.8041 Å, 90.00 90.00 90.00°
Element x y z (fractional)
Lu (0.5000, 0.5000, 0.5000)
Er (0.0000, 0.0000, 0.7881)
Er (0.0000, 0.0000, 0.2119)
Ga (0.5000, 0.5000, 0.0000)

(6)
The following is a GGA-PBE calculation of an optimized crystal structure of ErLuGa4, from Alexandria via LeMat-Bulk.

VASP energy	-4.04	eV/atom
SG	F-43m (216)

Cell: 5.4572 5.4572 5.4572 Å, 60.00 60.00 60.00°
Element x y z (fractional)
Er (0.2500, 0.2500, 0.2500)
Ga (0.1249, 0.6250, 0.6250)
Ga (0.6250, 0.6250, 0.1249)
Ga (0.6250, 0.6250, 0.6250)
Ga (0.6250, 0.1249, 0.6250)
Lu (0.0000, 0.0000, 0.0000)